SrCaPrAl: optimized geometry, PBE.

abc: 5.7120 5.7120 5.7120
angles: 60.00 60.00 60.00
Atoms (fractional coordinates):
Pr 0.7500 0.7500 0.7500
Ca 0.5000 0.5000 0.5000
Sr 0.2500 0.2500 0.2500
Al 0.0000 0.0000 0.0000

**E**: -3.0481 eV/atom
**M_tot**: 0.000 μB per atom
**Density of states at the Fermi level**: 3.904 states/eV/cell
**DFT formation energy**: 0.00 eV per atom